1.
DFT (PBE) results for a relaxed TePtIN2 crystal.

CIF file:
```
data_TePtIN2
_space_group_name_H-M_alt 'P 4/m m m'
_space_group_IT_number 123
_space_group_name_Hall '-P 4 2'
_cell_length_a 3.9986
_cell_length_b 3.9986
_cell_length_c 8.2783
_cell_angle_alpha 90.00
_cell_angle_beta 90.00
_cell_angle_gamma 90.00
loop_
_atom_site_label
_atom_site_type_symbol
_atom_site_fract_x
_atom_site_fract_y
_atom_site_fract_z
Te1 Te 0.0000 0.0000 0.0000
Pt1 Pt 0.5000 0.5000 0.5000
I1 I 0.5000 0.5000 0.0000
N1 N 0.0000 0.5000 0.5000
```

Properties
E_form (uncorrected)	1.404	eV per atom

=====

2.
DFT (PBE) results for a relaxed BaEuGd crystal.

CIF file:
```
data_BaEuGd
_space_group_name_H-M_alt 'I 4 m m'
_space_group_IT_number 107
_space_group_name_Hall 'I 4 -2'
_cell_length_a 3.9435
_cell_length_b 3.9435
_cell_length_c 16.7862
_cell_angle_alpha 90.00
_cell_angle_beta 90.00
_cell_angle_gamma 90.00
loop_
_atom_site_label
_atom_site_type_symbol
_atom_site_fract_x
_atom_site_fract_y
_atom_site_fract_z
Ba1 Ba 0.0000 0.0000 0.0000
Eu1 Eu 0.0000 0.0000 0.6858
Gd1 Gd 0.0000 0.0000 0.3362
```

Properties
energy of formation from the pure elements	149	meV/atom

=====

3.
DFT (PBE) results for a relaxed YIn2Ni crystal.

CIF file:
```
data_YIn2Ni
_space_group_name_H-M_alt 'P 4 m m'
_space_group_IT_number 99
_space_group_name_Hall 'P 4 -2'
_cell_length_a 3.4023
_cell_length_b 3.4023
_cell_length_c 7.5440
_cell_angle_alpha 90.00
_cell_angle_beta 90.00
_cell_angle_gamma 90.00
loop_
_atom_site_label
_atom_site_type_symbol
_atom_site_fract_x
_atom_site_fract_y
_atom_site_fract_z
Y1 Y 0.0000 0.0000 0.0000
In1 In 0.0000 0.0000 0.5891
In2 In 0.5000 0.5000 0.3055
Ni1 Ni 0.5000 0.5000 0.7732
```

Properties
energy of formation from the pure elements	-209	meV/atom

=====

Looking at VASP energy for the records above, in order, we have -4.072 -8.610 -4.640 eV/atom.